Density functional theory data (PBE) for a geometry-optimized Sr4LiZn2 structure.

Results
Crystal system: trigonal
Energy of formation from the pure elements in eV per atom: -0.06
Size of the total moment in μB/atom: 0.0000
Space-group type: R-3m
Volume in Å³ per cell: 250

Unit cell a=9.6505 b=9.6505 c=9.6505 alpha=33.99 beta=33.99 gamma=33.99
Positions (direct):
Sr (0.1219, 0.1219, 0.1219)
Sr (0.3727, 0.3727, 0.3727)
Sr (0.6273, 0.6273, 0.6273)
Sr (0.8781, 0.8781, 0.8781)
Li (0.5000, 0.5000, 0.5000)
Zn (0.2462, 0.2462, 0.2462)
Zn (0.7538, 0.7538, 0.7538)